Version i
Density functional theory data (PBE+U) for an optimized crystal structure of MnAuF3.

Cell lengths 4.170, 4.170, 4.170 Å; angles 90.00, 90.00, 90.00 degrees
Space group Pm-3m (No. 221)
One atom of each set of equivalent atoms:
Mn 0.000 0.000 0.000 [1 per cell]
Au 0.500 0.500 0.500 [1 per cell]
F 0.000 0.000 0.500 [3 per cell]

=====

Version ii
Density functional theory data (PBE+U) for an optimized crystal structure of MnAuF3.

Cell lengths 4.473, 4.473, 4.473 Å; angles 90.00, 90.00, 90.00 degrees
Space group Pm-3m (No. 221)
One atom of each set of equivalent atoms:
Mn 0.000 0.000 0.000 [1 per cell]
Au 0.500 0.500 0.500 [1 per cell]
F 0.000 0.500 0.500 [3 per cell]

=====

Which structure is most stable? version i, by 0.796 eV/atom over the runner-up.

=====

Version i
Density functional theory data (PBE+U) for an optimized crystal structure of MnAuF2.

Cell lengths 6.102, 6.102, 6.102 Å; angles 90.00, 90.00, 90.00 degrees
Space group Fm-3m (No. 225)
One atom of each set of equivalent atoms:
Mn 0.000 0.000 0.000 [4 per cell]
Au 0.000 0.000 0.500 [4 per cell]
F 0.250 0.250 0.250 [8 per cell]

=====

Version ii
Density functional theory data (PBE+U) for an optimized crystal structure of MnAuF2.

Cell lengths 3.1047, 3.1047, 27.5620 Å; angles 90.00, 90.00, 120.00 degrees
Space group R-3m (No. 166, hexagonal axes)
One atom of each set of equivalent atoms:
Mn 0.0000 0.0000 0.0000 [3 per cell]
Au 0.0000 0.0000 0.5000 [3 per cell]
F 0.0000 0.0000 0.3735 [6 per cell]

=====

Version iii
Density functional theory data (PBE+U) for an optimized crystal structure of MnAuF2.

Cell lengths 6.038, 6.038, 8.779 Å; angles 90.00, 90.00, 90.00 degrees
Space group I-42d (No. 122)
One atom of each set of equivalent atoms:
Mn 0.000 0.000 0.000 [4 per cell]
Au 0.000 0.000 0.500 [4 per cell]
F 0.123 0.250 0.125 [8 per cell]

=====

Which structure is most stable? version ii, by 0.361 eV/atom over the runner-up.

=====

Version i
Density functional theory data (PBE+U) for an optimized crystal structure of MnAuN2F.

Cell lengths 3.719, 3.719, 4.015 Å; angles 90.00, 90.00, 90.00 degrees
Space group P4/mmm (No. 123)
One atom of each set of equivalent atoms:
Mn 0.000 0.000 0.000 [1 per cell]
Au 0.500 0.500 0.500 [1 per cell]
N 0.000 0.500 0.000 [2 per cell]
F 0.000 0.000 0.500 [1 per cell]

=====

Version ii
Density functional theory data (PBE+U) for an optimized crystal structure of MnAuN2F.

Cell lengths 3.949, 3.949, 4.992 Å; angles 90.00, 90.00, 90.00 degrees
Space group P4/mmm (No. 123)
One atom of each set of equivalent atoms:
Mn 0.000 0.000 0.000 [1 per cell]
Au 0.500 0.500 0.500 [1 per cell]
N 0.000 0.500 0.500 [2 per cell]
F 0.500 0.500 0.000 [1 per cell]

=====

Which structure is most stable? version i, by 0.053 eV/atom over the runner-up.

=====

Version i
Density functional theory data (PBE+U) for an optimized crystal structure of MnAuNF2.

Cell lengths 4.058, 4.058, 4.011 Å; angles 90.00, 90.00, 90.00 degrees
Space group P4/mmm (No. 123)
One atom of each set of equivalent atoms:
Mn 0.000 0.000 0.000 [1 per cell]
Au 0.500 0.500 0.500 [1 per cell]
N 0.000 0.000 0.500 [1 per cell]
F 0.000 0.500 0.000 [2 per cell]

=====

Version ii
Density functional theory data (PBE+U) for an optimized crystal structure of MnAuNF2.

Cell lengths 4.610, 4.610, 3.834 Å; angles 90.00, 90.00, 90.00 degrees
Space group P4/mmm (No. 123)
One atom of each set of equivalent atoms:
Mn 0.000 0.000 0.000 [1 per cell]
Au 0.500 0.500 0.500 [1 per cell]
N 0.500 0.500 0.000 [1 per cell]
F 0.000 0.500 0.500 [2 per cell]

=====

Which structure is most stable? version i, by 0.517 eV/atom over the runner-up.

=====

Version i
Density functional theory data (PBE+U) for an optimized crystal structure of MoAu2F.

Cell lengths 7.795, 7.795, 5.080 Å; angles 90.00, 90.00, 90.00 degrees
Space group I-42d (No. 122)
One atom of each set of equivalent atoms:
Mo 0.000 0.000 0.000 [4 per cell]
Au 0.234 0.250 0.625 [8 per cell]
F 0.000 0.000 0.500 [4 per cell]

=====

Version ii
Density functional theory data (PBE+U) for an optimized crystal structure of MoAu2F.

Cell lengths 6.542, 6.542, 6.542 Å; angles 90.00, 90.00, 90.00 degrees
Space group Fm-3m (No. 225)
One atom of each set of equivalent atoms:
Mo 0.000 0.000 0.000 [4 per cell]
Au 0.250 0.250 0.250 [8 per cell]
F 0.000 0.000 0.500 [4 per cell]

=====

Which structure is most stable? version i, by 0.242 eV/atom over the runner-up.

=====

Version i
Density functional theory data (PBE+U) for an optimized crystal structure of MoAuOF2.

Cell lengths 4.394, 4.394, 4.220 Å; angles 90.00, 90.00, 90.00 degrees
Space group P4/mmm (No. 123)
One atom of each set of equivalent atoms:
Mo 0.000 0.000 0.000 [1 per cell]
Au 0.500 0.500 0.500 [1 per cell]
O 0.500 0.500 0.000 [1 per cell]
F 0.000 0.500 0.500 [2 per cell]

=====

Version ii
Density functional theory data (PBE+U) for an optimized crystal structure of MoAuOF2.

Cell lengths 4.239, 4.239, 4.114 Å; angles 90.00, 90.00, 90.00 degrees
Space group P4/mmm (No. 123)
One atom of each set of equivalent atoms:
Mo 0.000 0.000 0.000 [1 per cell]
Au 0.500 0.500 0.500 [1 per cell]
O 0.000 0.000 0.500 [1 per cell]
F 0.000 0.500 0.000 [2 per cell]

=====

Which structure is most stable? version ii, by 0.945 eV/atom over the runner-up.